FeCo2Ag: optimized geometry, PBE.

```
FeCo2Ag
1.0
3.435 0.000 0.000
0.000 2.718 0.003
0.000 2.702 5.601
Co Fe Ag
2 1 1
Cartesian
1.718 1.356 1.358
0.000 2.718 0.253
0.000 2.710 2.578
1.718 4.065 4.220
```

Results
Energy of formation from the pure elements: 0.245 eV/atom
Final energy: -24.5 eV for the cell shown
Crystal system: monoclinic
Magnetization: 6.14 μB/cell